VASP calculation (GGA-PBE) on a geometry-optimized YHg2Au2 structure.

Properties
Total magnetization ... 0.0 μB/cell
Crystal system ... tetragonal
E above lowest polymorph ... 0.82 eV/f.u.
Calculated volume ... 22.99 Å³/atom

extended XYZ file:
```
10
Lattice="7.876 0.000 0.000 0.000 7.876 0.000 0.000 0.000 3.707" Properties=species:S:1:pos:R:3 pbc="T T T"
Y 0.000 0.000 0.000
Y 3.938 3.938 0.000
Hg 0.996 2.942 0.000
Hg 2.942 6.879 0.000
Hg 4.934 0.996 0.000
Hg 6.879 4.934 0.000
Au 1.404 5.342 1.853
Au 2.534 1.404 1.853
Au 5.342 6.472 1.853
Au 6.472 2.534 1.853
```